# 1
{
  "formula": "Hf7Ge2Sb2",
  "functional": "GGA-PBE",
  "state": "relaxed",
  "cell": [[4.274, -4.909, 0.000], [4.274, 4.909, 0.000], [0.000, 0.000, 6.113]],
  "species": ["Hf", "Hf", "Hf", "Hf", "Hf", "Hf", "Hf", "Ge", "Ge", "Sb", "Sb"],
  "frac_coords": [[0.000, 0.000, 0.000], [0.000, 0.500, 0.254], [0.000, 0.500, 0.746], [0.500, 0.000, 0.254], [0.500, 0.000, 0.746], [0.500, 0.500, 0.255], [0.500, 0.500, 0.745], [0.273, 0.727, 0.000], [0.727, 0.273, 0.000], [0.191, 0.191, 0.500], [0.809, 0.809, 0.500]],
  "dos_at_fermi_per_ev_atom": 0.85,
  "dft_energy_ev_per_atom": -8.03,
  "spacegroup": "Cmmm"
}

# 2
{
  "formula": "Hf5GeSb5",
  "functional": "GGA-PBE",
  "state": "relaxed",
  "cell": [[6.350, -2.853, 0.000], [6.350, 2.853, 0.000], [-2.617, 0.000, 7.616]],
  "species": ["Hf", "Hf", "Hf", "Hf", "Hf", "Ge", "Sb", "Sb", "Sb", "Sb", "Sb"],
  "frac_coords": [[0.000, 0.000, 0.000], [0.335, 0.335, 0.152], [0.341, 0.341, 0.684], [0.659, 0.659, 0.316], [0.665, 0.665, 0.848], [0.500, 0.500, 0.000], [0.154, 0.154, 0.806], [0.165, 0.165, 0.343], [0.500, 0.500, 0.500], [0.835, 0.835, 0.657], [0.846, 0.846, 0.194]],
  "dos_at_fermi_per_ev_atom": 0.45,
  "dft_energy_ev_per_atom": -7.21,
  "spacegroup": "C2/m"
}